# Rb2PuTe2Br2, optimized geometry, DFT GGA-PBE
# space group: No. 139
# ΔE_f (raw): -1.251 eV/atom
# total DFT energy (no corrections): -4.951 eV/atom
data_Rb2PuTe2Br2
_chemical_formula_sum 'Rb2 Pu1 Te2 Br2'
_cell_length_a 5.955
_cell_length_b 5.955
_cell_length_c 9.747
_cell_angle_alpha 107.79
_cell_angle_beta 107.79
_cell_angle_gamma 90.00
_space_group_name_H-M_alt 'P 1'
_space_group_IT_number 1
loop_
_space_group_symop_operation_xyz
'x,y,z'
loop_
_atom_site_label
_atom_site_type_symbol
_atom_site_fract_x
_atom_site_fract_y
_atom_site_fract_z
Rb1 Rb 0.359 0.359 0.718
Rb2 Rb 0.641 0.641 0.282
Pu1 Pu 0.000 0.000 0.000
Te1 Te 0.000 0.500 0.000
Te2 Te 0.500 0.000 0.000
Br1 Br 0.165 0.165 0.329
Br2 Br 0.835 0.835 0.671